Record 1
A plane-wave DFT calculation with SCAN was carried out for a PBEsol-optimized structure of RbBa3Rh.

Space-group type = Pm-3m, No. 221
Size of the total moment = 0.5 μB per formula unit
V = 238 Å³ per cell
Energy of formation from the pure elements = -0.0518 eV/atom
Final energy = -34.68 eV per atom

Unit cell a=6.196 b=6.196 c=6.196 alpha=90.00 beta=90.00 gamma=90.00
Sites, in units of the cell vectors:
Rh1 0.000 0.000 0.000
Ba1 0.000 0.500 0.000
Ba2 0.000 0.000 0.500
Ba3 0.500 0.000 0.000
Rb1 0.500 0.500 0.500

Record 2
A plane-wave DFT calculation with SCAN was carried out for a PBEsol-optimized structure of Mg2HgSe.

Space-group type = I-42d, No. 122
Size of the total moment = 0.0 μB per formula unit
V = 185 Å³ per cell
E_form (uncorrected) = -595 meV per atom
Energy relative to the lowest polymorph listed for this composition = 95 meV per atom
Final energy = -25.14 eV per atom

Unit cell a=6.220 b=6.220 c=6.220 alpha=108.11 beta=108.11 gamma=112.23
Sites, in units of the cell vectors:
Mg1 0.625 0.598 0.473
Mg2 0.125 0.152 0.527
Mg3 0.848 0.375 0.973
Mg4 0.402 0.875 0.027
Hg1 0.000 0.000 0.000
Hg2 0.250 0.750 0.500
Se1 0.500 0.500 0.000
Se2 0.750 0.250 0.500

Record 3
A plane-wave DFT calculation with SCAN was carried out for a PBEsol-optimized structure of TaTi2F.

Space-group type = Fm-3m, No. 225
Size of the total moment = 0.0 μB per formula unit
V = 60 Å³ per cell
E_form (uncorrected) = 108 meV per atom
Final energy = -25.44 eV per atom

Unit cell a=4.401 b=4.401 c=4.401 alpha=60.00 beta=60.00 gamma=60.00
Sites, in units of the cell vectors:
F1 0.000 0.000 0.000
Ti1 0.250 0.250 0.250
Ti2 0.750 0.750 0.750
Ta1 0.500 0.500 0.500

Record 4
A plane-wave DFT calculation with SCAN was carried out for a PBEsol-optimized structure of Re2TcTe.

Space-group type = Imm2, No. 44
Size of the total moment = 0.0 μB per formula unit
V = 63 Å³ per cell
E_form (uncorrected) = 629 meV per atom
Final energy = -53.00 eV per atom

Unit cell a=3.072 b=4.508 c=5.286 alpha=115.24 beta=106.90 gamma=90.00
Sites, in units of the cell vectors:
Re1 0.986 0.986 0.972
Re2 0.746 0.246 0.491
Tc1 0.520 0.520 0.039
Te1 0.249 0.749 0.498

Record 5
A plane-wave DFT calculation with SCAN was carried out for a PBEsol-optimized structure of Ce3Si6Pd20.

Space-group type = Fm-3m, No. 225
Size of the total moment = 1.7 μB per formula unit
V = 451 Å³ per cell
E_form (uncorrected) = -848 meV per atom
Final energy = -30.13 eV per atom

Unit cell a=8.609 b=8.609 c=8.609 alpha=60.00 beta=60.00 gamma=60.00
Each line ends with the local moment (μB).
Sites, in units of the cell vectors:
Ce1 0.000 0.000 0.000  0.40
Ce2 0.750 0.750 0.750  0.68
Ce3 0.250 0.250 0.250  0.68
Si1 0.268 0.268 0.732  0.00
Si2 0.732 0.268 0.732  0.00
Si3 0.732 0.268 0.268  0.00
Si4 0.732 0.732 0.268  0.00
Si5 0.268 0.732 0.268  0.00
Si6 0.268 0.732 0.732  0.00
Pd1 0.617 0.150 0.617  -0.01
Pd2 0.617 0.617 0.150  -0.01
Pd3 0.617 0.617 0.617  -0.01
Pd4 0.150 0.617 0.617  -0.01
Pd5 0.383 0.850 0.383  -0.01
Pd6 0.383 0.383 0.850  -0.01
Pd7 0.383 0.383 0.383  -0.01
Pd8 0.850 0.383 0.383  -0.01
Pd9 0.653 0.347 0.000  -0.01
Pd10 0.000 0.347 0.000  -0.01
Pd11 0.000 0.347 0.653  -0.01
Pd12 0.000 0.000 0.347  -0.01
Pd13 0.653 0.000 0.347  -0.01
Pd14 0.000 0.653 0.347  -0.01
Pd15 0.000 0.000 0.653  -0.01
Pd16 0.000 0.653 0.000  -0.01
Pd17 0.653 0.000 0.000  -0.01
Pd18 0.347 0.653 0.000  -0.01
Pd19 0.347 0.000 0.653  -0.01
Pd20 0.347 0.000 0.000  -0.01

Record 6
A plane-wave DFT calculation with SCAN was carried out for a PBEsol-optimized structure of U2Pd3Rh3.

Space-group type = Pmmm, No. 47
Size of the total moment = 1.5 μB per formula unit
V = 128 Å³ per cell
Energy of formation from the pure elements = -0.5747 eV/atom
Final energy = -51.41 eV per atom

Unit cell a=3.876 b=4.000 c=8.257 alpha=90.00 beta=90.00 gamma=90.00
Each line ends with the local moment (μB).
Sites, in units of the cell vectors:
U1 0.000 0.000 0.757  1.11
U2 0.000 0.000 0.243  1.11
Pd1 0.500 0.000 0.500  -0.04
Pd2 0.000 0.500 0.000  -0.05
Pd3 0.000 0.500 0.500  -0.05
Rh1 0.500 0.500 0.750  -0.21
Rh2 0.500 0.500 0.250  -0.21
Rh3 0.500 0.000 0.000  -0.23

Record 7
A plane-wave DFT calculation with SCAN was carried out for a PBEsol-optimized structure of MgScNb2Ir.

Space-group type = P4/mmm, No. 123
Size of the total moment = 0.0 μB per formula unit
V = 105 Å³ per cell
Energy of formation from the pure elements = 1.2625 eV/atom
Final energy = -30.05 eV per atom

Unit cell a=4.660 b=4.736 c=4.736 alpha=90.00 beta=90.00 gamma=90.00
Sites, in units of the cell vectors:
Sc1 0.000 0.000 0.000
Nb1 0.000 0.000 0.500
Nb2 0.000 0.500 0.000
Ir1 0.500 0.000 0.000
Mg1 0.500 0.500 0.500

Record 8
A plane-wave DFT calculation with SCAN was carried out for a PBEsol-optimized structure of MgFeNi3.

Space-group type = Pm-3m, No. 221
Size of the total moment = 5.0 μB per formula unit
V = 76 Å³ per cell
Energy of formation from the pure elements = 0.7138 eV/atom
Final energy = -13.61 eV per atom

Unit cell a=4.239 b=4.239 c=4.239 alpha=90.00 beta=90.00 gamma=90.00
Each line ends with the local moment (μB).
Sites, in units of the cell vectors:
Ni1 0.000 0.500 0.000  0.81
Ni2 0.000 0.000 0.500  0.81
Ni3 0.500 0.000 0.000  0.81
Mg1 0.500 0.500 0.500  -0.01
Fe1 0.000 0.000 0.000  2.85

- Which formula does entry 3 have?
  TaTi2F

Repeat the fourth record exactly.
A plane-wave DFT calculation with SCAN was carried out for a PBEsol-optimized structure of Re2TcTe.

Space-group type = Imm2, No. 44
Size of the total moment = 0.0 μB per formula unit
V = 63 Å³ per cell
E_form (uncorrected) = 629 meV per atom
Final energy = -53.00 eV per atom

Unit cell a=3.072 b=4.508 c=5.286 alpha=115.24 beta=106.90 gamma=90.00
Sites, in units of the cell vectors:
Re1 0.986 0.986 0.972
Re2 0.746 0.246 0.491
Tc1 0.520 0.520 0.039
Te1 0.249 0.749 0.498

- What is the formula in the fifth record?
  Ce3Si6Pd20

- What is the size of the total moment in the eighth record?
  5.0 μB per formula unit